## SrLiInAu (PBE)

Data for a relaxed SrLiInAu crystal.

## Properties
**Relative energy among the computed polymorphs**: 0.0 meV per atom
**DFT formation energy**: -0.499 eV per atom
**Total magnetization**: 0.000 μB per formula unit

Cell lengths 8.344, 4.802, 5.915 Å; angles 90.00, 117.82, 90.00 degrees
Positions (direct):
Sr 0.000 0.000 0.000
Sr 0.500 0.500 0.000
Li 0.304 0.500 0.411
Li 0.804 0.000 0.411
In 0.012 0.500 0.535
In 0.512 0.000 0.535
Au 0.204 0.000 0.609
Au 0.704 0.500 0.609